Below is an optimized crystal structure of Li2Mn3SbO8, with properties calculated at the PBE with a Hubbard U level.

Properties
- density (g/cm³) = 4.44
- SG = R-3m, No. 166
- relative energy among the computed polymorphs (kJ per mole of atoms) = 2.75

The structure in POSCAR format:
```
Li2Mn3SbO8
1.0
-3.796 3.684 -2.854
-1.096 -0.767 -5.860
-5.526 -2.160 -1.766
Li O Mn Sb
2 8 3 1
direct
0.130 0.130 0.611
0.870 0.870 0.389
0.266 0.724 0.744
0.734 0.734 0.256
0.734 0.276 0.256
0.266 0.266 0.744
0.726 0.726 0.822
0.724 0.266 0.744
0.274 0.274 0.178
0.276 0.734 0.256
0.500 0.000 0.000
0.500 0.500 0.000
0.000 0.500 0.000
0.500 0.500 0.500
```